# 1
{
  "formula": "Be3BiB",
  "functional": "GGA-PBE",
  "state": "relaxed",
  "ef_ev_per_fu": 3.12,
  "n_ef_per_ev_atom": 0.42,
  "volume_a3_per_atom": 12.79,
  "spacegroup": "Pm-3m",
  "e_above_lowest_polymorph_ev_per_fu": 0.00,
  "magmom_total_mub_per_cell": 0.00,
  "lattice_angstrom": [[3.999, 0.000, 0.000], [0.000, 3.999, 0.000], [0.000, 0.000, 3.999]],
  "species": ["Be", "Be", "Be", "B", "Bi"],
  "frac_coords": [[0.500, 0.000, 0.000], [0.000, 0.000, 0.500], [0.000, 0.500, 0.000], [0.000, 0.000, 0.000], [0.500, 0.500, 0.500]]
}



# 2
{
  "formula": "BeBi2B",
  "functional": "GGA-PBE",
  "state": "relaxed",
  "ef_ev_per_fu": 4.82,
  "n_ef_per_ev_atom": 0.47,
  "volume_a3_per_atom": 20.13,
  "spacegroup": "Fm-3m",
  "e_above_lowest_polymorph_ev_per_fu": 2.19,
  "magmom_total_mub_per_cell": 0.00,
  "lattice_angstrom": [[0.000, 3.427, 3.427], [3.427, 0.000, 3.427], [3.427, 3.427, 0.000]],
  "species": ["Bi", "Bi", "B", "Be"],
  "frac_coords": [[0.250, 0.250, 0.250], [0.750, 0.750, 0.750], [0.500, 0.500, 0.500], [0.000, 0.000, 0.000]]
}



# 3
{
  "formula": "BeBiB2",
  "functional": "GGA-PBE",
  "state": "relaxed",
  "ef_ev_per_fu": 7.03,
  "n_ef_per_ev_atom": 0.34,
  "volume_a3_per_atom": 14.13,
  "spacegroup": "Fm-3m",
  "e_above_lowest_polymorph_ev_per_fu": 3.66,
  "magmom_total_mub_per_cell": 0.00,
  "lattice_angstrom": [[0.000, 3.046, 3.046], [3.046, 0.000, 3.046], [3.046, 3.046, 0.000]],
  "species": ["Bi", "B", "B", "Be"],
  "frac_coords": [[0.500, 0.500, 0.500], [0.750, 0.750, 0.750], [0.250, 0.250, 0.250], [0.000, 0.000, 0.000]]
}



# 4
{
  "formula": "BeCuBi2B",
  "functional": "GGA-PBE",
  "state": "relaxed",
  "ef_ev_per_fu": 4.39,
  "n_ef_per_ev_atom": 0.49,
  "volume_a3_per_atom": 20.33,
  "spacegroup": "P4/mmm",
  "magmom_total_mub_per_cell": 0.00,
  "lattice_angstrom": [[5.134, 0.000, 0.000], [0.000, 3.858, 0.000], [0.000, 0.000, 5.134]],
  "species": ["Cu", "Bi", "Bi", "B", "Be"],
  "frac_coords": [[0.000, 0.500, 0.000], [0.500, 0.000, 0.000], [0.000, 0.000, 0.500], [0.000, 0.000, 0.000], [0.500, 0.500, 0.500]]
}



# 5
{
  "formula": "BeBiBH2",
  "functional": "GGA-PBE",
  "state": "relaxed",
  "final_energy_ev_per_fu": -17.0,
  "n_ef_per_ev_atom": 0.23,
  "volume_a3_per_atom": 10.49,
  "spacegroup": "P4/mmm",
  "magmom_total_mub_per_cell": 0.00,
  "lattice_angstrom": [[3.511, 0.000, 0.000], [0.000, 4.256, 0.000], [0.000, 0.000, 3.511]],
  "species": ["Bi", "H", "H", "Be", "B"],
  "frac_coords": [[0.500, 0.500, 0.500], [0.000, 0.000, 0.500], [0.500, 0.000, 0.000], [0.000, 0.000, 0.000], [0.000, 0.500, 0.000]]
}



# 6
{
  "formula": "MgBeBi2B",
  "functional": "GGA-PBE",
  "state": "relaxed",
  "ef_ev_per_fu": 2.74,
  "n_ef_per_ev_atom": 0.45,
  "volume_a3_per_atom": 21.36,
  "spacegroup": "P4/mmm",
  "magmom_total_mub_per_cell": 0.00,
  "lattice_angstrom": [[-2.101, 2.135, -4.568], [-3.129, -1.591, 0.695], [-1.617, 4.402, 2.801]],
  "species": ["Bi", "Bi", "Mg", "Be", "B"],
  "frac_coords": [[0.000, 0.000, 0.500], [0.500, 0.000, 0.000], [0.500, 0.500, 0.500], [0.000, 0.000, 0.000], [0.000, 0.500, 0.000]]
}